## 1
Computed, not measured: a relaxed PaCrMo crystal at the PBE level of DFT.

POSCAR file:
```
PaCrMo
1.0
1.473 0.850 7.041
-1.473 0.850 7.041
0.000 -1.700 7.041
Pa Cr Mo
1 1 1
Direct
0.000 0.000 0.000 Pa
0.114 0.114 0.114 Cr
0.869 0.869 0.869 Mo
```

Fermi-level density of states in states/eV/atom: 0.692
V in Å³ per cell: 53

***

## 2
Computed, not measured: a relaxed PaCrMo crystal at the PBE level of DFT.

POSCAR file:
```
PaCrMo
1.0
4.455 0.000 0.000
-2.227 3.858 0.000
0.000 0.000 2.958
Pa Cr Mo
1 1 1
Direct
0.000 0.000 0.000 Pa
0.333 0.667 0.293 Cr
0.667 0.333 0.710 Mo
```

Fermi-level density of states in states/eV/atom: 1.219
V in Å³ per cell: 51

***

## 3
Computed, not measured: a relaxed PaCrMo crystal at the PBE level of DFT.

POSCAR file:
```
PaCrMo
1.0
-1.523 1.523 5.707
1.523 -1.523 5.707
1.523 1.523 -5.707
Pa Cr Mo
1 1 1
Direct
0.000 0.000 0.000 Pa
0.685 0.685 0.000 Cr
0.299 0.299 0.000 Mo
```

Fermi-level density of states in states/eV/atom: 1.643
V in Å³ per cell: 53

***

Least stable = 1

***

## 1
Computed, not measured: a relaxed ZrCrMoPb2 crystal at the PBE level of DFT.

POSCAR file:
```
ZrCrMoPb2
1.0
5.121 0.000 0.000
0.000 5.121 0.000
0.000 0.000 4.486
Zr Cr Mo Pb
1 1 1 2
Direct
0.000 0.000 0.000 Zr
0.500 0.500 0.500 Cr
0.500 0.500 0.000 Mo
0.000 0.500 0.500 Pb
0.500 0.000 0.500 Pb
```

Fermi-level density of states in states/eV/atom: 1.019
V in Å³ per cell: 118

***

## 2
Computed, not measured: a relaxed ZrCrMoPb2 crystal at the PBE level of DFT.

POSCAR file:
```
ZrCrMoPb2
1.0
5.343 0.000 0.000
0.000 5.343 0.000
0.000 0.000 4.547
Zr Cr Mo Pb
1 1 1 2
Direct
0.000 0.000 0.000 Zr
0.500 0.500 0.000 Cr
0.500 0.500 0.500 Mo
0.000 0.500 0.500 Pb
0.500 0.000 0.500 Pb
```

Fermi-level density of states in states/eV/atom: 0.819
V in Å³ per cell: 130

***

Least stable = 2

***

## 1
Computed, not measured: a relaxed CrMoPd2 crystal at the PBE level of DFT.

POSCAR file:
```
CrMoPd2
1.0
-3.501 3.501 2.565
3.501 -3.501 2.565
3.501 3.501 -2.565
Cr Mo Pd
2 2 4
Direct
0.000 0.000 0.000 Cr
0.750 0.250 0.500 Cr
0.250 0.750 0.500 Mo
0.500 0.500 0.000 Mo
0.101 0.625 0.976 Pd
0.375 0.351 0.476 Pd
0.649 0.125 0.024 Pd
0.875 0.899 0.524 Pd
```

Fermi-level density of states in states/eV/atom: 2.040
V in Å³ per cell: 126

***

## 2
Computed, not measured: a relaxed CrMoPd2 crystal at the PBE level of DFT.

POSCAR file:
```
CrMoPd2
1.0
1.378 0.796 9.003
-1.378 0.796 9.003
0.000 -1.591 9.003
Cr Mo Pd
1 1 2
Direct
0.000 0.000 0.000 Cr
0.500 0.500 0.500 Mo
0.253 0.253 0.253 Pd
0.747 0.747 0.747 Pd
```

Fermi-level density of states in states/eV/atom: 1.231
V in Å³ per cell: 59

***

## 3
Computed, not measured: a relaxed CrMoPd2 crystal at the PBE level of DFT.

POSCAR file:
```
CrMoPd2
1.0
0.000 3.142 3.142
3.142 0.000 3.142
3.142 3.142 0.000
Cr Mo Pd
1 1 2
Direct
0.000 0.000 0.000 Cr
0.500 0.500 0.500 Mo
0.250 0.250 0.250 Pd
0.750 0.750 0.750 Pd
```

Fermi-level density of states in states/eV/atom: 0.756
V in Å³ per cell: 62

***

Least stable = 1

***

## 1
Computed, not measured: a relaxed Cr3MoPd crystal at the PBE level of DFT.

POSCAR file:
```
Cr3MoPd
1.0
4.401 0.000 0.000
0.000 4.401 0.000
0.000 0.000 4.401
Cr Mo Pd
3 1 1
Direct
0.000 0.000 0.500 Cr
0.000 0.500 0.000 Cr
0.500 0.000 0.000 Cr
0.000 0.000 0.000 Mo
0.500 0.500 0.500 Pd
```

Fermi-level density of states in states/eV/atom: 1.520
V in Å³ per cell: 85

***

## 2
Computed, not measured: a relaxed Cr3MoPd crystal at the PBE level of DFT.

POSCAR file:
```
Cr3MoPd
1.0
4.423 0.000 0.000
0.000 4.423 0.000
0.000 0.000 4.423
Cr Mo Pd
3 1 1
Direct
0.000 0.000 0.500 Cr
0.000 0.500 0.000 Cr
0.500 0.000 0.000 Cr
0.500 0.500 0.500 Mo
0.000 0.000 0.000 Pd
```

Fermi-level density of states in states/eV/atom: 2.329
V in Å³ per cell: 87

***

Least stable = 2

***

## 1
Computed, not measured: a relaxed CrMoPt2 crystal at the PBE level of DFT.

POSCAR file:
```
CrMoPt2
1.0
2.730 0.000 0.000
0.000 3.998 0.000
0.000 0.000 5.413
Cr Mo Pt
1 1 2
Direct
0.000 0.000 0.000 Cr
0.000 0.000 0.500 Mo
0.500 0.500 0.247 Pt
0.500 0.500 0.753 Pt
```

Fermi-level density of states in states/eV/atom: 0.951
V in Å³ per cell: 59

***

## 2
Computed, not measured: a relaxed CrMoPt2 crystal at the PBE level of DFT.

POSCAR file:
```
CrMoPt2
1.0
2.710 0.000 0.000
0.000 2.710 0.000
0.000 0.000 8.037
Cr Mo Pt
1 1 2
Direct
0.000 0.000 0.000 Cr
0.500 0.500 0.255 Mo
0.000 0.000 0.503 Pt
0.500 0.500 0.783 Pt
```

Fermi-level density of states in states/eV/atom: 0.991
V in Å³ per cell: 59

***

## 3
Computed, not measured: a relaxed CrMoPt2 crystal at the PBE level of DFT.

POSCAR file:
```
CrMoPt2
1.0
0.000 3.118 3.118
3.118 0.000 3.118
3.118 3.118 0.000
Cr Mo Pt
1 1 2
Direct
0.000 0.000 0.000 Cr
0.750 0.750 0.750 Mo
0.250 0.250 0.250 Pt
0.500 0.500 0.500 Pt
```

Fermi-level density of states in states/eV/atom: 1.272
V in Å³ per cell: 61

***

## 4
Computed, not measured: a relaxed CrMoPt2 crystal at the PBE level of DFT.

POSCAR file:
```
CrMoPt2
1.0
1.369 0.790 9.153
-1.369 0.790 9.153
0.000 -1.581 9.153
Cr Mo Pt
1 1 2
Direct
0.000 0.000 0.000 Cr
0.750 0.750 0.750 Mo
0.257 0.257 0.257 Pt
0.500 0.500 0.500 Pt
```

Fermi-level density of states in states/eV/atom: 1.248
V in Å³ per cell: 59

***

Least stable = 3

***

## 1
Computed, not measured: a relaxed CrMoPt2 crystal at the PBE level of DFT.

POSCAR file:
```
CrMoPt2
1.0
2.713 -3.988 0.000
2.713 3.988 0.000
0.000 0.000 2.743
Cr Mo Pt
1 1 2
Direct
0.000 0.000 0.000 Cr
0.500 0.500 0.000 Mo
0.000 0.500 0.500 Pt
0.500 0.000 0.500 Pt
```

Fermi-level density of states in states/eV/atom: 1.016
V in Å³ per cell: 59

***

## 2
Computed, not measured: a relaxed CrMoPt2 crystal at the PBE level of DFT.

POSCAR file:
```
CrMoPt2
1.0
-3.498 3.498 2.620
3.498 -3.498 2.620
3.498 3.498 -2.620
Cr Mo Pt
2 2 4
Direct
0.000 0.000 0.000 Cr
0.750 0.250 0.500 Cr
0.250 0.750 0.500 Mo
0.500 0.500 0.000 Mo
0.102 0.125 0.477 Pt
0.375 0.898 0.023 Pt
0.648 0.625 0.523 Pt
0.875 0.352 0.977 Pt
```

Fermi-level density of states in states/eV/atom: 1.922
V in Å³ per cell: 128

***

Least stable = 2